# KLi2Tl GGA-PBE relaxed
data_KLi2Tl
_space_group_name_H-M_alt 'R 3 m'
_space_group_IT_number 160
_space_group_name_Hall 'R 3 -2"'
_cell_length_a 4.9194
_cell_length_b 4.9194
_cell_length_c 19.0644
_cell_angle_alpha 90.00
_cell_angle_beta 90.00
_cell_angle_gamma 120.00
loop_
_atom_site_label
_atom_site_fract_x
_atom_site_fract_y
_atom_site_fract_z
K1 0.0000 0.0000 0.0000
Li1 0.0000 0.0000 0.5171
Li2 0.0000 0.0000 0.8178
Tl1 0.0000 0.0000 0.1902
# - calculated total energy (Ry per atom) = -0.1380
# - calculated volume (A^3/atom) = 33.3
# - ΔE_f (eV/atom) = -0.0541
# - energy relative to the lowest polymorph listed for this composition (eV per atom) = 0.0000
# - magnetic moment (μB per formula unit) = 0.00
# - crystal system = trigonal

---

# Nd4Ho2Hg GGA-PBE relaxed
data_Nd4Ho2Hg
_space_group_name_H-M_alt 'C 1 2/m 1'
_space_group_IT_number 12
_cell_length_a 16.639
_cell_length_b 3.591
_cell_length_c 8.621
_cell_angle_alpha 90.00
_cell_angle_beta 117.58
_cell_angle_gamma 90.00
loop_
_space_group_symop_operation_xyz
'x,y,z'
'-x,-y,-z'
'-x,y,-z'
'x,-y,z'
'x+1/2,y+1/2,z'
'-x+1/2,-y+1/2,-z'
'-x+1/2,y+1/2,-z'
'x+1/2,-y+1/2,z'
loop_
_atom_site_label
_atom_site_fract_x
_atom_site_fract_y
_atom_site_fract_z
Nd1 0.084 0.000 0.204
Nd2 0.130 0.500 0.886
Ho1 0.215 0.000 0.637
Hg1 0.000 0.000 0.500
# - calculated total energy (Ry per atom) = -0.3006
# - calculated volume (A^3/atom) = 32.6
# - ΔE_f (eV/atom) = -0.0137
# - magnetic moment (μB per formula unit) = 0.00
# - crystal system = monoclinic